Material: P7Pt
Method: DFT, PBE
State: relaxed

The calculation puts the formation energy from the elements at 0.76 eV per atom. The value obtained for the total magnetization is 0.000 μB/atom. The space group is Fm-3m (225). The raw total energy comes out at -4.726 eV/atom. Its crystal system is cubic.

Cell: 5.536 5.536 5.536 Å, 60.00 60.00 60.00°
Fractional coordinates of all 8 atoms:
P (0.000, 0.000, 0.000)
P (0.000, 0.000, 0.500)
P (0.000, 0.500, 0.000)
P (0.000, 0.500, 0.500)
P (0.500, 0.000, 0.000)
P (0.500, 0.000, 0.500)
P (0.500, 0.500, 0.000)
Pt (0.500, 0.500, 0.500)